[1]
CsZrTeAuSe2: relaxed, GGA-PBE.

abc: 8.757 8.757 10.842
angles: 90.00 90.00 153.40
Element x y z (fractional)
Se: 0.608 0.392 0.041
Se: 0.392 0.608 0.959
Te: 0.076 0.924 0.750
Cs: 0.769 0.231 0.750
Zr: 0.000 0.000 0.500
Au: 0.536 0.464 0.250
Se: 0.392 0.608 0.541
Au: 0.464 0.536 0.750
Se: 0.608 0.392 0.459
Te: 0.924 0.076 0.250
Cs: 0.231 0.769 0.250
Zr: 0.000 0.000 0.000

VASP energy: -4.74 eV per atom
ρ: 6.30 g/cm3



[2]
Re2Pt: relaxed, GGA-PBE.

abc: 5.136 5.136 5.136
angles: 60.00 60.00 60.00
Element x y z (fractional)
Pt: 0.000 0.000 0.000
Re: 0.625 0.625 0.625
Re: 0.625 0.125 0.625
Re: 0.625 0.625 0.125
Re: 0.125 0.625 0.625
Pt: 0.250 0.250 0.250

formation energy from the elements: 0.46 eV/atom
VASP energy: -9.84 eV per atom
ρ: 19.67 g/cm3



[3]
AlAg2IrS4: relaxed, GGA-PBE.

abc: 6.864 6.864 6.864
angles: 132.58 132.58 69.31
Element x y z (fractional)
Al: 0.000 0.000 0.000
S: 0.870 0.913 0.536
S: 0.087 0.623 0.958
S: 0.665 0.130 0.042
S: 0.377 0.335 0.464
Ag: 0.500 0.500 0.000
Ag: 0.250 0.750 0.500
Ir: 0.750 0.250 0.500

VASP energy: -4.57 eV per atom
ρ: 5.44 g/cm3



[4]
LiGa2Mo: relaxed, GGA-PBE.

abc: 4.378 4.378 4.378
angles: 60.00 60.00 60.00
Element x y z (fractional)
Li: 0.000 0.000 0.000
Mo: 0.250 0.250 0.250
Ga: 0.500 0.500 0.500
Ga: 0.750 0.750 0.750

VASP energy: -4.41 eV per atom
ρ: 6.78 g/cm3



[5]
LiTeOsAuSe2: relaxed, GGA-PBE.

abc: 7.697 7.697 10.504
angles: 90.00 90.00 155.75
Element x y z (fractional)
Te: 0.950 0.050 0.750
Se: 0.371 0.629 0.483
Se: 0.629 0.371 0.983
Se: 0.371 0.629 0.017
Os: 0.000 0.000 0.000
Te: 0.050 0.950 0.250
Au: 0.651 0.349 0.750
Se: 0.629 0.371 0.517
Li: 0.292 0.708 0.750
Li: 0.708 0.292 0.250
Au: 0.349 0.651 0.250
Os: 0.000 0.000 0.500

VASP energy: -4.57 eV per atom
ρ: 8.83 g/cm3



[6]
NbTcMo: relaxed, GGA-PBE.

abc: 4.312 4.312 4.312
angles: 60.00 60.00 60.00
Element x y z (fractional)
Tc: 0.250 0.250 0.250
Mo: 0.000 0.000 0.000
Nb: 0.500 0.500 0.500

formation energy from the elements: 0.56 eV/atom
VASP energy: -9.88 eV per atom
ρ: 8.40 g/cm3